No. 1
{
  "formula": "VFeNi14",
  "functional": "PBE-GGA",
  "state": "optimized geometry",
  "lattice": [[5.010, 0.000, 0.000], [0.000, 5.010, 0.000], [0.000, 0.000, 7.023]],
  "species": ["V", "Fe", "Ni", "Ni", "Ni", "Ni", "Ni", "Ni", "Ni", "Ni", "Ni", "Ni", "Ni", "Ni", "Ni", "Ni"],
  "frac_coords": [[0.000, 0.000, 0.000], [0.500, 0.500, 0.000], [0.000, 0.000, 0.500], [0.000, 0.500, 0.000], [0.000, 0.500, 0.500], [0.250, 0.250, 0.250], [0.250, 0.250, 0.750], [0.250, 0.750, 0.250], [0.250, 0.750, 0.750], [0.500, 0.000, 0.000], [0.500, 0.000, 0.500], [0.500, 0.500, 0.500], [0.750, 0.250, 0.250], [0.750, 0.250, 0.750], [0.750, 0.750, 0.250], [0.750, 0.750, 0.750]],
  "volume_a3_per_cell": 176,
  "sg": "P4/mmm (123)",
  "formation_enthalpy_0k_ev_per_atom": -0.06,
  "dft_energy_ev_per_atom": -6.220
}

No. 2
{
  "formula": "NdBi",
  "functional": "PBE-GGA",
  "state": "optimized geometry",
  "lattice": [[6.519, 0.000, 0.000], [0.000, 6.519, 0.000], [0.000, 0.000, 6.519]],
  "species": ["Nd", "Nd", "Nd", "Nd", "Bi", "Bi", "Bi", "Bi"],
  "frac_coords": [[0.000, 0.000, 0.000], [0.000, 0.500, 0.500], [0.500, 0.000, 0.500], [0.500, 0.500, 0.000], [0.000, 0.000, 0.500], [0.000, 0.500, 0.000], [0.500, 0.000, 0.000], [0.500, 0.500, 0.500]],
  "volume_a3_per_cell": 277,
  "sg": "Fm-3m (225)",
  "formation_enthalpy_0k_ev_per_atom": -0.95,
  "dft_energy_ev_per_atom": -5.274
}

No. 3
{
  "formula": "KLaIr2",
  "functional": "PBE-GGA",
  "state": "optimized geometry",
  "lattice": [[6.235, 0.000, 0.000], [0.000, 8.500, 0.000], [-0.011, 0.000, 3.291]],
  "species": ["K", "K", "La", "La", "Ir", "Ir", "Ir", "Ir"],
  "frac_coords": [[0.000, 0.000, 0.000], [0.500, 0.500, 0.000], [0.000, 0.500, 0.000], [0.500, 0.000, 0.000], [0.250, 0.250, 0.500], [0.250, 0.750, 0.500], [0.750, 0.250, 0.500], [0.750, 0.750, 0.500]],
  "volume_a3_per_cell": 174,
  "relative_energy_ev_per_atom": 0.579,
  "sg": "C2/m (12)",
  "formation_enthalpy_0k_ev_per_atom": 0.42,
  "dft_energy_ev_per_atom": -5.517
}

No. 4
{
  "formula": "BaUAsO6",
  "functional": "PBE-GGA",
  "state": "optimized geometry",
  "lattice": [[5.516, 0.000, 0.000], [-2.758, 4.777, 0.000], [0.000, 0.000, 5.735]],
  "species": ["Ba", "U", "As", "O", "O", "O", "O", "O", "O"],
  "frac_coords": [[0.000, 0.000, 0.000], [0.667, 0.333, 0.500], [0.333, 0.667, 0.500], [0.025, 0.394, 0.691], [0.025, 0.631, 0.309], [0.369, 0.394, 0.309], [0.369, 0.975, 0.691], [0.606, 0.631, 0.691], [0.606, 0.975, 0.309]],
  "volume_a3_per_cell": 151,
  "formation_energy_uncorrected_ev_per_atom": -2.3824,
  "sg": "P312 (149)",
  "dft_energy_ev_per_atom": -7.672
}

No. 5
{
  "formula": "LiNb2As",
  "functional": "PBE-GGA",
  "state": "optimized geometry",
  "lattice": [[7.144, 0.000, 0.000], [0.000, 7.144, 0.000], [0.000, 0.000, 5.455]],
  "species": ["Li", "Li", "Li", "Li", "Nb", "Nb", "Nb", "Nb", "Nb", "Nb", "Nb", "Nb", "As", "As", "As", "As"],
  "frac_coords": [[0.000, 0.000, 0.000], [0.000, 0.500, 0.250], [0.500, 0.000, 0.750], [0.500, 0.500, 0.500], [0.234, 0.250, 0.625], [0.250, 0.734, 0.875], [0.250, 0.766, 0.375], [0.266, 0.250, 0.125], [0.734, 0.750, 0.125], [0.750, 0.234, 0.375], [0.750, 0.266, 0.875], [0.766, 0.750, 0.625], [0.000, 0.000, 0.500], [0.000, 0.500, 0.750], [0.500, 0.000, 0.250], [0.500, 0.500, 0.000]],
  "volume_a3_per_cell": 278,
  "relative_energy_ev_per_atom": 0.071,
  "sg": "I-42d (122)",
  "formation_enthalpy_0k_ev_per_atom": 0.13,
  "dft_energy_ev_per_atom": -6.547
}

No. 6
{
  "formula": "Ca4TcPt",
  "functional": "PBE-GGA",
  "state": "optimized geometry",
  "lattice": [[0.000, 4.265, 4.265], [4.265, 0.000, 4.265], [4.265, 4.265, 0.000]],
  "species": ["Ca", "Ca", "Ca", "Ca", "Tc", "Pt"],
  "frac_coords": [[0.125, 0.125, 0.125], [0.125, 0.125, 0.624], [0.125, 0.624, 0.125], [0.624, 0.125, 0.125], [0.500, 0.500, 0.500], [0.750, 0.750, 0.750]],
  "volume_a3_per_cell": 155,
  "sg": "F-43m (216)",
  "formation_enthalpy_0k_ev_per_atom": 0.91,
  "dft_energy_ev_per_atom": -3.163
}

> Which formula does entry 5 have?

LiNb2As